Entry 1:
KCoS3 | Alexandria | meta-GGA SCAN | PBEsol geometry; total DFT energy (no corrections) = -55.4 eV/cell
1.0
4.534 0.000 0.000
0.000 4.534 0.000
0.000 0.000 4.534
K S Co
1 3 1
direct
0.500 0.500 0.500
0.500 0.000 0.000
0.000 0.000 0.500
0.000 0.500 0.000
0.000 0.000 0.000

---

Entry 2:
CsCu3Br | Alexandria | meta-GGA SCAN | PBEsol geometry; E above lowest polymorph = 0.804 eV/atom
1.0
5.303 0.000 0.000
0.000 5.303 0.000
0.000 0.000 5.303
Br Cs Cu
1 1 3
direct
0.500 0.500 0.500
0.000 0.000 0.000
0.500 0.000 0.000
0.000 0.500 0.000
0.000 0.000 0.500

---

Entry 3:
HgRu | Alexandria | meta-GGA SCAN | PBEsol geometry; energy of formation = 138 kJ/mol of formula units
1.0
4.039 0.000 0.000
0.000 4.039 0.000
-2.020 -2.020 3.994
Ru Hg
2 2
direct
0.750 0.250 0.500
0.500 0.500 0.000
0.250 0.750 0.500
0.000 0.000 0.000